Entry 1:
# TlPdCl3, relaxed, DFT PBE
data_TlPdCl3
_chemical_formula_sum 'Tl1 Pd1 Cl3'
_cell_length_a 4.9565
_cell_length_b 4.9565
_cell_length_c 4.9565
_cell_angle_alpha 90.00
_cell_angle_beta 90.00
_cell_angle_gamma 90.00
_symmetry_space_group_name_H-M 'P m -3 m'
_symmetry_Int_Tables_number 221
_symmetry_space_group_name_Hall '-P 4 2 3'
loop_
_atom_site_label
_atom_site_fract_x
_atom_site_fract_y
_atom_site_fract_z
_atom_site_occupancy
Tl1 0.0000 0.0000 0.0000 1
Pd1 0.5000 0.5000 0.5000 1
Cl1 0.0000 0.5000 0.5000 1
# energy relative to the lowest polymorph listed for this composition = 0.0255 eV/atom
# raw formation energy = -0.674 eV/atom

Entry 2:
# TlPdCl3, relaxed, DFT PBE
data_TlPdCl3
_chemical_formula_sum 'Tl1 Pd1 Cl3'
_cell_length_a 5.3368
_cell_length_b 5.3368
_cell_length_c 5.3368
_cell_angle_alpha 90.00
_cell_angle_beta 90.00
_cell_angle_gamma 90.00
_symmetry_space_group_name_H-M 'P m -3 m'
_symmetry_Int_Tables_number 221
_symmetry_space_group_name_Hall '-P 4 2 3'
loop_
_atom_site_label
_atom_site_fract_x
_atom_site_fract_y
_atom_site_fract_z
_atom_site_occupancy
Tl1 0.0000 0.0000 0.0000 1
Pd1 0.5000 0.5000 0.5000 1
Cl1 0.0000 0.0000 0.5000 1
# energy relative to the lowest polymorph listed for this composition = 0.7225 eV/atom
# raw formation energy = 0.023 eV/atom

Entry 3:
# Tl3PdCl, relaxed, DFT PBE
data_Tl3PdCl
_chemical_formula_sum 'Tl3 Pd1 Cl1'
_cell_length_a 5.7581
_cell_length_b 5.7581
_cell_length_c 5.7581
_cell_angle_alpha 90.00
_cell_angle_beta 90.00
_cell_angle_gamma 90.00
_symmetry_space_group_name_H-M 'P m -3 m'
_symmetry_Int_Tables_number 221
_symmetry_space_group_name_Hall '-P 4 2 3'
loop_
_atom_site_label
_atom_site_fract_x
_atom_site_fract_y
_atom_site_fract_z
_atom_site_occupancy
Tl1 0.0000 0.0000 0.5000 1
Pd1 0.5000 0.5000 0.5000 1
Cl1 0.0000 0.0000 0.0000 1
# energy relative to the lowest polymorph listed for this composition = 0.6444 eV/atom
# raw formation energy = 0.243 eV/atom

Entry 4:
# TlPdCl2, relaxed, DFT PBE
data_TlPdCl2
_chemical_formula_sum 'Tl4 Pd4 Cl8'
_cell_length_a 6.0447
_cell_length_b 6.0447
_cell_length_c 14.0212
_cell_angle_alpha 90.00
_cell_angle_beta 90.00
_cell_angle_gamma 90.00
_symmetry_space_group_name_H-M 'I -4 2 d'
_symmetry_Int_Tables_number 122
_symmetry_space_group_name_Hall 'I -4 2bw'
loop_
_atom_site_label
_atom_site_fract_x
_atom_site_fract_y
_atom_site_fract_z
_atom_site_occupancy
Tl1 0.0000 0.0000 0.0000 1
Pd1 0.0000 0.0000 0.5000 1
Cl1 0.1548 0.2500 0.6250 1
# energy relative to the lowest polymorph listed for this composition = 0.0000 eV/atom
# raw formation energy = -0.406 eV/atom

Entry 5:
# Tl5PdCl8, relaxed, DFT PBE
data_Tl5PdCl8
_chemical_formula_sum 'Tl10 Pd2 Cl16'
_cell_length_a 8.9155
_cell_length_b 8.9155
_cell_length_c 10.4408
_cell_angle_alpha 90.00
_cell_angle_beta 90.00
_cell_angle_gamma 90.00
_symmetry_space_group_name_H-M 'I -4'
_symmetry_Int_Tables_number 82
_symmetry_space_group_name_Hall 'I -4'
loop_
_atom_site_label
_atom_site_fract_x
_atom_site_fract_y
_atom_site_fract_z
_atom_site_occupancy
Tl1 0.0000 0.0000 0.0000 1
Tl2 0.1192 0.2458 0.3934 1
Pd1 0.0000 0.5000 0.7500 1
Cl1 0.0590 0.2453 0.7440 1
Cl2 0.0699 0.2909 0.0999 1
# energy relative to the lowest polymorph listed for this composition = 0.0000 eV/atom
# raw formation energy = -0.808 eV/atom

Entry 6:
# TlPd3Cl, relaxed, DFT PBE
data_TlPd3Cl
_chemical_formula_sum 'Tl1 Pd3 Cl1'
_cell_length_a 4.6830
_cell_length_b 4.6830
_cell_length_c 4.6830
_cell_angle_alpha 90.00
_cell_angle_beta 90.00
_cell_angle_gamma 90.00
_symmetry_space_group_name_H-M 'P m -3 m'
_symmetry_Int_Tables_number 221
_symmetry_space_group_name_Hall '-P 4 2 3'
loop_
_atom_site_label
_atom_site_fract_x
_atom_site_fract_y
_atom_site_fract_z
_atom_site_occupancy
Tl1 0.0000 0.0000 0.0000 1
Pd1 0.0000 0.5000 0.5000 1
Cl1 0.5000 0.5000 0.5000 1
# energy relative to the lowest polymorph listed for this composition = 0.0000 eV/atom
# raw formation energy = 0.241 eV/atom

Number 1 is which compound?
TlPdCl3